Entry 1:
The following is a DFT calculation (GGA-PBE) of an optimized crystal structure of Pu3IrPd2.

Lattice parameters (Å, degrees): 4.924 4.924 6.036 90.00 90.00 120.00
Fractional positions:
1 Pu 0.000 0.000 0.000
2 Pu 0.333 0.667 0.648
3 Pu 0.667 0.333 0.352
4 Ir 0.000 0.000 0.500
5 Pd 0.333 0.667 0.148
6 Pd 0.667 0.333 0.852

Output
Calculated volume: 21.13 Å³ per atom
Crystal system: trigonal
DFT total energy: -10.811 eV per atom
Offset from the most stable computed form: 0 meV per atom

=====

Entry 2:
The following is a DFT calculation (GGA-PBE) of an optimized crystal structure of Pu3Ir2Pd.

Lattice parameters (Å, degrees): 8.146 8.146 5.635 102.99 102.99 42.08
Fractional positions:
1 Pu 0.142 0.858 0.750
2 Pu 0.200 0.446 0.392
3 Pu 0.446 0.200 0.892
4 Pu 0.554 0.800 0.108
5 Pu 0.800 0.554 0.608
6 Pu 0.858 0.142 0.250
7 Ir 0.039 0.274 0.042
8 Ir 0.274 0.039 0.542
9 Ir 0.726 0.961 0.458
10 Ir 0.961 0.726 0.958
11 Pd 0.370 0.630 0.250
12 Pd 0.630 0.370 0.750

Output
Calculated volume: 20.27 Å³ per atom
Crystal system: monoclinic
DFT total energy: -11.390 eV per atom
Offset from the most stable computed form: 39 meV per atom

=====

Entry 3:
The following is a DFT calculation (GGA-PBE) of an optimized crystal structure of Pu7Ir2Pd2.

Lattice parameters (Å, degrees): 6.276 6.276 7.365 90.00 90.00 110.96
Fractional positions:
1 Pu 0.000 0.000 0.000
2 Pu 0.000 0.500 0.306
3 Pu 0.000 0.500 0.694
4 Pu 0.500 0.000 0.306
5 Pu 0.500 0.000 0.694
6 Pu 0.500 0.500 0.263
7 Pu 0.500 0.500 0.737
8 Ir 0.181 0.181 0.500
9 Ir 0.819 0.819 0.500
10 Pd 0.284 0.716 0.000
11 Pd 0.716 0.284 0.000

Output
Calculated volume: 24.63 Å³ per atom
Crystal system: orthorhombic
DFT total energy: -11.717 eV per atom

=====

Entry 4:
The following is a DFT calculation (GGA-PBE) of an optimized crystal structure of Pu4IrPd.

Lattice parameters (Å, degrees): 7.078 7.078 5.768 90.00 90.00 90.00
Fractional positions:
1 Pu 0.158 0.329 0.000
2 Pu 0.158 0.671 0.500
3 Pu 0.329 0.158 0.500
4 Pu 0.329 0.842 0.000
5 Pu 0.671 0.158 0.000
6 Pu 0.671 0.842 0.500
7 Pu 0.842 0.329 0.500
8 Pu 0.842 0.671 0.000
9 Ir 0.000 0.000 0.250
10 Ir 0.000 0.000 0.750
11 Pd 0.500 0.500 0.250
12 Pd 0.500 0.500 0.750

Output
Calculated volume: 24.08 Å³ per atom
Crystal system: tetragonal
DFT total energy: -12.144 eV per atom
Offset from the most stable computed form: 11 meV per atom

=====

Entry 5:
The following is a DFT calculation (GGA-PBE) of an optimized crystal structure of Pu3IrPd2.

Lattice parameters (Å, degrees): 3.393 3.393 11.053 90.00 90.00 90.00
Fractional positions:
1 Pu 0.000 0.000 0.000
2 Pu 0.000 0.000 0.345
3 Pu 0.000 0.000 0.655
4 Ir 0.500 0.500 0.500
5 Pd 0.500 0.500 0.168
6 Pd 0.500 0.500 0.832

Output
Calculated volume: 21.20 Å³ per atom
Crystal system: tetragonal
DFT total energy: -10.794 eV per atom
Offset from the most stable computed form: 17 meV per atom

=====

Entry 6:
The following is a DFT calculation (GGA-PBE) of an optimized crystal structure of Pu12Ir6Pd.

Lattice parameters (Å, degrees): 7.435 7.435 7.435 91.92 91.92 91.92
Fractional positions:
1 Pu 0.054 0.136 0.380
2 Pu 0.136 0.380 0.054
3 Pu 0.185 0.465 0.598
4 Pu 0.380 0.054 0.136
5 Pu 0.402 0.815 0.535
6 Pu 0.465 0.598 0.185
7 Pu 0.535 0.402 0.815
8 Pu 0.598 0.185 0.465
9 Pu 0.620 0.946 0.864
10 Pu 0.815 0.535 0.402
11 Pu 0.864 0.620 0.946
12 Pu 0.946 0.864 0.620
13 Ir 0.114 0.752 0.268
14 Ir 0.248 0.732 0.886
15 Ir 0.268 0.114 0.752
16 Ir 0.732 0.886 0.248
17 Ir 0.752 0.268 0.114
18 Ir 0.886 0.248 0.732
19 Pd 0.000 0.000 0.000

Output
Calculated volume: 21.60 Å³ per atom
Crystal system: trigonal
DFT total energy: -12.353 eV per atom

=====

Entry 7:
The following is a DFT calculation (GGA-PBE) of an optimized crystal structure of PuIrPd.

Lattice parameters (Å, degrees): 5.405 5.405 5.405 121.02 119.88 89.22
Fractional positions:
1 Pu 0.379 0.129 0.250
2 Pu 0.621 0.871 0.750
3 Ir 0.000 0.500 0.500
4 Ir 0.500 0.500 0.000
5 Pd 0.000 0.000 0.500
6 Pd 0.000 0.500 0.000

Output
Calculated volume: 18.48 Å³ per atom
Crystal system: orthorhombic
DFT total energy: -9.964 eV per atom
Offset from the most stable computed form: 0 meV per atom

=====

Entry 8:
The following is a DFT calculation (GGA-PBE) of an optimized crystal structure of Pu2IrPd.

Lattice parameters (Å, degrees): 3.443 3.443 7.079 90.00 90.00 90.00
Fractional positions:
1 Pu 0.000 0.000 0.236
2 Pu 0.000 0.000 0.764
3 Ir 0.500 0.500 0.000
4 Pd 0.500 0.500 0.500

Output
Calculated volume: 20.97 Å³ per atom
Crystal system: tetragonal
DFT total energy: -11.126 eV per atom

=====

| no. | DFT formation energy (eV per atom) |
| --- | --- |
| 1 | -0.4371 |
| 2 | -0.4052 |
| 3 | -0.0414 |
| 4 | -0.2466 |
| 5 | -0.4198 |
| 6 | -0.2294 |
| 7 | -0.5024 |
| 8 | -0.4462 |